# BiMoN2F

An optimized crystal structure of BiMoN2F (PBE with a Hubbard U, Alexandria via LeMat-Bulk).

* energy above the lowest structure with this stoichiometry: 420 kJ/mol of formula units
* DFT total energy: -5.0122 eV/atom

a b c (Å): 4.366 4.366 4.343
angles (deg): 90.00 90.00 90.00
Fractional coordinates of all 5 atoms:
Bi (0.000, 0.000, 0.000)
Mo (0.500, 0.500, 0.500)
N (0.000, 0.500, 0.000)
N (0.500, 0.000, 0.000)
F (0.000, 0.000, 0.500)